[1]
Computed, not measured: a relaxed structure of PrNpCl6 at the GGA-PBE level of DFT.

Summary:
The volume is 527.0 Å³/cell. The uncorrected formation energy is -1.957 eV/atom.

extended XYZ file:
```
16
Lattice="-5.520 -0.286 -4.014 4.458 -5.175 0.051 -6.709 -5.685 9.630" Properties=species:S:1:pos:R:3 pbc="T T T"
Pr -0.545 -4.967 1.103
Pr -7.225 -6.180 4.563
Np -3.354 -2.843 4.815
Np 0.000 0.000 0.000
Cl -2.805 -3.924 2.349
Cl -4.965 -7.223 3.317
Cl 0.466 -5.662 3.602
Cl 1.815 -5.923 -0.022
Cl -8.236 -5.484 2.064
Cl -9.585 -5.223 5.688
Cl -1.808 -7.444 0.965
Cl 0.568 -2.417 1.179
Cl -5.962 -3.703 4.700
Cl -8.338 -8.730 4.486
Cl -1.505 -4.432 -1.454
Cl -6.265 -6.715 7.120
```

=====

[2]
Computed, not measured: a relaxed structure of PuNp2Cl8 at the GGA-PBE level of DFT.

Summary:
The volume is 337.5 Å³/cell. The uncorrected formation energy is -1.737 eV/atom.

extended XYZ file:
```
11
Lattice="-2.667 -1.167 2.792 4.930 -5.471 2.422 6.509 6.590 6.057" Properties=species:S:1:pos:R:3 pbc="T T T"
Pu -1.333 -0.583 1.396
Np 4.886 -1.633 3.984
Np 3.886 1.586 7.287
Cl 2.151 -1.761 4.232
Cl 4.167 4.082 5.686
Cl 4.131 1.160 4.431
Cl 3.899 -3.910 2.090
Cl 4.640 -1.208 6.841
Cl 4.604 -4.129 5.586
Cl 6.621 1.714 7.039
Cl 4.873 3.862 9.181
```

=====

[3]
Computed, not measured: a relaxed structure of PuNpCl6 at the GGA-PBE level of DFT.

Summary:
The volume is 226.6 Å³/cell. The uncorrected formation energy is -1.779 eV/atom.

extended XYZ file:
```
8
Lattice="-4.457 1.073 1.607 -1.193 -3.506 6.374 0.520 4.758 5.566" Properties=species:S:1:pos:R:3 pbc="T T T"
Pu -2.565 1.163 6.773
Np 0.000 0.000 0.000
Cl -4.252 3.106 8.115
Cl -2.233 3.919 5.828
Cl -3.527 1.122 4.166
Cl -2.897 -1.594 7.718
Cl -0.878 -0.781 5.431
Cl -1.603 1.203 9.381
```

=====

[4]
Computed, not measured: a relaxed structure of PuNpCl at the GGA-PBE level of DFT.

Summary:
The volume is 138.5 Å³/cell. The uncorrected formation energy is -0.315 eV/atom.

extended XYZ file:
```
6
Lattice="3.024 0.000 0.000 -1.512 5.641 0.154 0.000 0.141 8.122" Properties=species:S:1:pos:R:3 pbc="T T T"
Pu 0.000 2.374 6.463
Pu 1.512 3.408 1.813
Np 0.000 0.212 1.144
Np 1.512 5.570 7.131
Cl 0.000 1.579 3.481
Cl 1.512 4.203 4.794
```

=====

[5]
Computed, not measured: a relaxed structure of PuNpCl5 at the GGA-PBE level of DFT.

Summary:
The volume is 408.9 Å³/cell. The uncorrected formation energy is -1.744 eV/atom.

extended XYZ file:
```
14
Lattice="-1.404 3.654 -0.846 -5.487 -0.828 5.531 8.528 5.215 8.380" Properties=species:S:1:pos:R:3 pbc="T T T"
Pu -0.284 3.425 1.046
Pu 1.920 4.616 12.019
Np 0.220 2.368 5.125
Np 1.417 5.674 7.940
Cl 1.869 2.455 2.765
Cl 6.074 7.472 7.979
Cl 1.294 4.979 5.142
Cl -1.134 1.314 2.822
Cl 3.796 4.346 7.739
Cl -2.159 3.695 5.326
Cl 2.771 6.727 10.243
Cl 0.343 3.062 7.923
Cl -4.437 0.570 5.086
Cl -0.233 5.586 10.301
```

=====

[6]
Computed, not measured: a relaxed structure of Pu2NpCl8 at the GGA-PBE level of DFT.

Summary:
The volume is 351.4 Å³/cell. The uncorrected formation energy is -1.820 eV/atom.

extended XYZ file:
```
11
Lattice="3.899 0.000 -0.980 0.106 7.687 0.421 0.839 1.129 11.578" Properties=species:S:1:pos:R:3 pbc="T T T"
Np 1.949 0.000 -0.490
Cl 2.654 3.878 2.313
Cl 2.117 1.453 8.421
Cl 1.407 2.970 5.597
Cl 0.097 5.848 0.386
Cl 3.436 5.845 5.422
Cl 2.726 7.362 2.597
Cl 2.189 4.938 8.706
Cl 4.746 2.967 10.633
Pu 1.002 5.301 3.984
Pu 3.842 3.515 7.035
```

=====

[7]
Computed, not measured: a relaxed structure of RbPuNpCl6 at the GGA-PBE level of DFT.

Summary:
The volume is 669.9 Å³/cell. The uncorrected formation energy is -1.813 eV/atom.

extended XYZ file:
```
18
Lattice="-7.016 -1.837 -1.369 5.492 -3.900 -3.018 0.062 -8.636 11.272" Properties=species:S:1:pos:R:3 pbc="T T T"
Rb 0.000 0.000 0.000
Rb 0.031 -4.318 5.636
Pu 1.338 -5.371 0.350
Pu -2.801 -9.002 6.536
Np -2.831 -4.683 0.900
Np 1.369 -9.689 5.986
Cl -4.932 -4.480 -0.926
Cl -2.614 -1.905 1.034
Cl 2.081 -6.992 6.056
Cl 1.151 -12.468 5.852
Cl -4.356 -4.289 3.203
Cl -0.574 -5.268 2.433
Cl -0.493 -9.594 8.062
Cl -3.544 -7.381 0.830
Cl -0.889 -9.105 4.453
Cl -0.969 -4.779 -1.177
Cl 2.893 -10.084 3.682
Cl 3.469 -9.892 7.812
```

=====

[8]
Computed, not measured: a relaxed structure of Rb2NpCl8 at the GGA-PBE level of DFT.

Summary:
The calculation puts the excess energy over the best structure of this formula in the dataset at 0.0000 eV per atom. The volume is 477.9 Å³/cell. The uncorrected formation energy is -1.493 eV/atom.

extended XYZ file:
```
11
Lattice="9.358 0.000 0.000 -4.679 6.560 -2.709 0.000 -1.662 8.472" Properties=species:S:1:pos:R:3 pbc="T T T"
Rb 4.679 2.999 1.865
Rb 0.000 1.899 3.898
Np 0.000 0.000 0.000
Cl 7.551 1.642 0.959
Cl 1.807 1.642 0.959
Cl -2.872 3.256 4.804
Cl 0.000 4.770 1.232
Cl 2.872 3.256 4.804
Cl 4.679 5.371 -0.390
Cl 0.000 -0.473 6.153
Cl 4.679 0.128 4.531
```

=====

Repeat the eighth record exactly.
Computed, not measured: a relaxed structure of Rb2NpCl8 at the GGA-PBE level of DFT.

Summary:
The calculation puts the excess energy over the best structure of this formula in the dataset at 0.0000 eV per atom. The volume is 477.9 Å³/cell. The uncorrected formation energy is -1.493 eV/atom.

extended XYZ file:
```
11
Lattice="9.358 0.000 0.000 -4.679 6.560 -2.709 0.000 -1.662 8.472" Properties=species:S:1:pos:R:3 pbc="T T T"
Rb 4.679 2.999 1.865
Rb 0.000 1.899 3.898
Np 0.000 0.000 0.000
Cl 7.551 1.642 0.959
Cl 1.807 1.642 0.959
Cl -2.872 3.256 4.804
Cl 0.000 4.770 1.232
Cl 2.872 3.256 4.804
Cl 4.679 5.371 -0.390
Cl 0.000 -0.473 6.153
Cl 4.679 0.128 4.531
```

=====

Q: What is the uncorrected formation energy in the seventh record?
A: -1.813 eV/atom

=====

Q: The lowest uncorrected formation energy belongs to which entry?
A: PrNpCl6

=====

Q: Number 8 is which compound?
A: Rb2NpCl8